This record from Alexandria describes crystalline LaCoC at its relaxed geometry. The functional is PBE-GGA.

Unit cell a=4.032 b=4.177 c=7.158 alpha=106.55 beta=63.11 gamma=100.46
Atoms (fractional coordinates):
La  0.950  0.917  0.245
La  0.050  0.083  0.755
Co  0.657  0.533  0.626
Co  0.343  0.467  0.374
C  0.529  0.531  0.907
C  0.471  0.469  0.093

## Properties
electronic total energy	-7.208	eV/atom
total moment	0.00	μB/cell
E_form	-0.122	eV/atom
distance to the lowest polymorph of the same formula	92	meV per atom